A geometry-optimized Ac4CdInN structure. Source: the Alexandria database, functional PBE.

a b c (Å): 9.0642 9.0642 7.6151
angles (deg): 90.00 90.00 130.36
Closest atoms and distances in Å follow each position.
Atoms (fractional coordinates):
Ac (0.0000, 0.5000, 0.0000)  2 N 2.69
Ac (0.0000, 0.5000, 0.5000)  2 N 2.69
Ac (0.0831, 0.9169, 0.7500)  1 N 2.71
Ac (0.4158, 0.5842, 0.7500)  1 N 2.76
Ac (0.5000, 0.0000, 0.0000)  2 N 2.69
Ac (0.5000, 0.0000, 0.5000)  2 N 2.69
Ac (0.5842, 0.4158, 0.2500)  1 N 2.76
Ac (0.9169, 0.0831, 0.2500)  1 N 2.71
Cd (0.1195, 0.8805, 0.2500)  5 Ac 3.33-3.44
Cd (0.8805, 0.1195, 0.7500)  5 Ac 3.33-3.44
In (0.3803, 0.6197, 0.2500)  5 Ac 3.35-3.44
In (0.6197, 0.3803, 0.7500)  5 Ac 3.35-3.44
N (0.2481, 0.7519, 0.7500)  6 Ac 2.69-2.76
N (0.7519, 0.2481, 0.2500)  6 Ac 2.69-2.76

- space group = Cmcm, No. 63
- magnetic moment (μB per formula unit) = 0.000
- uncorrected energy (eV per formula unit) = -31.75
- volume (A^3/atom) = 34.1
- formation energy (no corrections) (eV/atom) = -0.48

---

A geometry-optimized NaAc2Cd3In4 structure. Source: the Alexandria database, functional PBE.

a b c (Å): 4.7990 4.7990 12.4489
angles (deg): 90.00 90.00 90.00
Closest atoms and distances in Å follow each position.
Atoms (fractional coordinates):
Na (0.0000, 0.0000, 0.0000)  4 In 2.97
Ac (0.0000, 0.5000, 0.7370)  4 Cd 3.62, 8 In 3.72-3.80
Ac (0.5000, 0.0000, 0.2630)  4 Cd 3.62, 8 In 3.72-3.80
Cd (0.0000, 0.5000, 0.3640)  5 In 2.77-2.94
Cd (0.5000, 0.0000, 0.6360)  5 In 2.77-2.94
Cd (0.5000, 0.5000, 0.0000)  4 In 2.97
In (0.0000, 0.0000, 0.5000)  4 Cd 2.94
In (0.0000, 0.5000, 0.1413)  3 Cd 2.77-2.97, 2 Na 2.97
In (0.5000, 0.0000, 0.8587)  3 Cd 2.77-2.97, 2 Na 2.97
In (0.5000, 0.5000, 0.5000)  4 Cd 2.94

- space group = P-4m2, No. 115
- magnetic moment (μB per formula unit) = 0.000
- uncorrected energy (eV per formula unit) = -25.92
- volume (A^3/atom) = 28.7
- formation energy (eV per atom) = -0.269

---

A geometry-optimized AcNdCdIn structure. Source: the Alexandria database, functional PBE.

a b c (Å): 3.9641 3.9641 8.0295
angles (deg): 90.00 90.00 90.00
Closest atoms and distances in Å follow each position.
Atoms (fractional coordinates):
Ac (0.0000, 0.0000, 0.0000)  4 In 3.56, 4 Cd 3.56, 4 Ac 3.96
Nd (0.0000, 0.0000, 0.4973)  4 Cd 3.33, 4 In 3.36
Cd (0.5000, 0.5000, 0.2743)  4 Nd 3.33, 4 Ac 3.56, 1 In 3.64
In (0.5000, 0.5000, 0.7274)  4 Nd 3.36, 4 Ac 3.56, 1 Cd 3.64

- space group = P4mm, No. 99
- magnetic moment (μB per formula unit) = 0.000
- uncorrected energy (eV per formula unit) = -14.02
- volume (A^3/atom) = 31.5
- formation energy (eV per atom) = -0.373
- ΔE to the lowest computed polymorph (meV/atom) = 0

---

A geometry-optimized AcNdCdIn structure. Source: the Alexandria database, functional PBE.

a b c (Å): 5.6447 5.6447 5.6447
angles (deg): 60.00 60.00 60.00
Closest atoms and distances in Å follow each position.
Atoms (fractional coordinates):
Ac (0.0000, 0.0000, 0.0000)  4 Cd 3.46, 4 In 3.46
Nd (0.5000, 0.5000, 0.5000)  4 Cd 3.46, 4 In 3.46
Cd (0.7500, 0.7500, 0.7500)  4 Ac 3.46, 4 Nd 3.46
In (0.2500, 0.2500, 0.2500)  4 Ac 3.46, 4 Nd 3.46

- space group = F-43m, No. 216
- magnetic moment (μB per formula unit) = 0.001
- uncorrected energy (eV per formula unit) = -13.99
- volume (A^3/atom) = 31.8
- formation energy (eV per atom) = -0.366
- ΔE to the lowest computed polymorph (meV/atom) = 7

---

A geometry-optimized Ac2CdIn6Ni structure. Source: the Alexandria database, functional PBE.

a b c (Å): 6.9931 6.9931 6.3851
angles (deg): 90.00 90.00 120.00
Closest atoms and distances in Å follow each position.
Atoms (fractional coordinates):
Ac (0.3333, 0.6667, 0.1705)  12 In 3.53-3.75
Ac (0.6667, 0.3333, 0.8295)  12 In 3.53-3.75
Cd (0.0000, 0.0000, 0.0000)  6 In 3.02, 2 Ni 3.19
In (0.1883, 0.3766, 0.6902)  1 Ni 2.58
In (0.1883, 0.8117, 0.6902)  1 Ni 2.58
In (0.3766, 0.1883, 0.3098)  1 Ni 2.58
In (0.6234, 0.8117, 0.6902)  1 Ni 2.58
In (0.8117, 0.1883, 0.3098)  1 Ni 2.58
In (0.8117, 0.6234, 0.3098)  1 Ni 2.58
Ni (0.0000, 0.0000, 0.5000)  6 In 2.58

- space group = P-3m1, No. 164
- magnetic moment (μB per formula unit) = 0.000
- uncorrected energy (eV per formula unit) = -34.48
- volume (A^3/atom) = 27.0
- formation energy (eV per atom) = -0.314

---

A geometry-optimized Ac2CdIn12Ni3 structure. Source: the Alexandria database, functional PBE.

a b c (Å): 8.6478 8.6478 8.6478
angles (deg): 66.48 66.48 66.48
Closest atoms and distances in Å follow each position.
Atoms (fractional coordinates):
Ac (0.0915, 0.0915, 0.0915)  6 In 3.40-3.70, 1 Ac 3.67
Ac (0.9085, 0.9085, 0.9085)  6 In 3.40-3.70, 1 Ac 3.67
Cd (0.5000, 0.5000, 0.5000)  6 In 3.10
In (0.0952, 0.6417, 0.6417)  1 Ni 2.55
In (0.2222, 0.2222, 0.6053)  2 Ni 2.50
In (0.2222, 0.6053, 0.2222)  2 Ni 2.50
In (0.3583, 0.3583, 0.9048)  1 Ni 2.55
In (0.3583, 0.9048, 0.3583)  1 Ni 2.55
In (0.3947, 0.7778, 0.7778)  2 Ni 2.50
In (0.6053, 0.2222, 0.2222)  2 Ni 2.50
In (0.6417, 0.0952, 0.6417)  1 Ni 2.55
In (0.6417, 0.6417, 0.0952)  1 Ni 2.55
In (0.7778, 0.3947, 0.7778)  2 Ni 2.50
In (0.7778, 0.7778, 0.3947)  2 Ni 2.50
In (0.9048, 0.3583, 0.3583)  1 Ni 2.55
Ni (0.0000, 0.5000, 0.5000)  6 In 2.50-2.55
Ni (0.5000, 0.0000, 0.5000)  6 In 2.50-2.55
Ni (0.5000, 0.5000, 0.0000)  6 In 2.50-2.55

- space group = R-3m, No. 166
- magnetic moment (μB per formula unit) = 0.000
- uncorrected energy (eV per formula unit) = -59.36
- volume (A^3/atom) = 29.0
- formation energy (eV per atom) = -0.001

---

Q: The highest magnetic moment belongs to which entry?
A: number 4